1.
LiTl2AuS4 | GGA-PBE | relaxed

Lattice parameters (Å, degrees): 5.8433 5.8433 11.7802 90.00 90.00 90.00
Space group I-4 (No. 82)
Unique sites:
1 Li 0.0000 0.0000 0.0000 [2 per cell]
2 Tl 0.0000 0.0000 0.5000 [2 per cell]
3 Tl 0.0000 0.5000 0.7500 [2 per cell]
4 Au 0.0000 0.5000 0.2500 [2 per cell]
5 S 0.2328 0.2459 0.1232 [8 per cell]

Values from the calculation:
Volume, Å³/cell: 402.22
Uncorrected energy, eV per atom: -3.624

---

2.
Gd2TmCdIn2 | GGA-PBE | relaxed

Lattice parameters (Å, degrees): 5.1321 5.1321 7.1028 90.00 90.00 120.00
Space group P-6m2 (No. 187)
Unique sites:
1 Gd 0.0000 0.0000 0.2462 [2 per cell]
2 Tm 0.6667 0.3333 0.5000 [1 per cell]
3 Cd 0.3333 0.6667 0.0000 [1 per cell]
4 In 0.3333 0.6667 0.5000 [1 per cell]
5 In 0.6667 0.3333 0.0000 [1 per cell]

Values from the calculation:
Volume, Å³/cell: 162.01
Uncorrected energy, eV per atom: -3.700

---

3.
HoEr2Ga3NiGe2 | GGA-PBE | relaxed

Lattice parameters (Å, degrees): 4.1244 12.0429 6.9520 90.00 90.00 90.00
Space group Amm2 (No. 38)
Unique sites:
1 Ho 0.0000 0.0000 0.0000 [2 per cell]
2 Er 0.0000 0.1996 0.4010 [4 per cell]
3 Ga 0.5000 0.0000 0.3719 [2 per cell]
4 Ga 0.5000 0.1144 0.7151 [4 per cell]
5 Ni 0.0000 0.0000 0.6006 [2 per cell]
6 Ge 0.5000 0.1667 0.1007 [4 per cell]

Values from the calculation:
Volume, Å³/cell: 345.30
Uncorrected energy, eV per atom: -4.893

---

4.
Zr4U3 | GGA-PBE | relaxed

Lattice parameters (Å, degrees): 8.2608 5.4655 8.2672 90.00 119.96 90.00
Space group P2_1/m (No. 11)
Unique sites:
1 Zr 0.0563 0.2500 0.2406 [2 per cell]
2 Zr 0.1838 0.2500 0.9434 [2 per cell]
3 Zr 0.2408 0.7500 0.1840 [2 per cell]
4 Zr 0.3332 0.2500 0.6666 [2 per cell]
5 U 0.1220 0.7500 0.5056 [2 per cell]
6 U 0.3846 0.7500 0.8789 [2 per cell]
7 U 0.4941 0.7500 0.6158 [2 per cell]

Values from the calculation:
Formation energy from the elements, eV/atom: 0.252
Volume, Å³/cell: 323.39
Uncorrected energy, eV per atom: -9.473

---

5.
PmCdPO | GGA-PBE | relaxed

Lattice parameters (Å, degrees): 5.7463 5.7463 4.8090 90.00 90.00 90.00
Space group P4/nmm (No. 129, origin choice 2)
Unique sites:
1 Pm 0.2500 0.7500 0.0000 [2 per cell]
2 Cd 0.2500 0.2500 0.4995 [2 per cell]
3 P 0.2500 0.2500 0.9987 [2 per cell]
4 O 0.2500 0.7500 0.5000 [2 per cell]

Values from the calculation:
Volume, Å³/cell: 158.79
Uncorrected energy, eV per atom: -5.317

---

6.
CuTePd2 | GGA-PBE | relaxed

Lattice parameters (Å, degrees): 6.4576 6.4576 6.4576 90.00 90.00 90.00
Space group F-43m (No. 216)
Unique sites:
1 Cu 0.0000 0.0000 0.0000 [4 per cell]
2 Te 0.2500 0.2500 0.7500 [4 per cell]
3 Pd 0.0000 0.0000 0.5000 [4 per cell]
4 Pd 0.2500 0.2500 0.2500 [4 per cell]

Values from the calculation:
Volume, Å³/cell: 269.29
Uncorrected energy, eV per atom: -4.399

---

7.
DyNpS3 | GGA-PBE | relaxed

Lattice parameters (Å, degrees): 3.8235 12.6723 9.4317 90.00 90.00 90.00
Space group Cmcm (No. 63)
Unique sites:
1 Dy 0.0000 0.0000 0.0000 [4 per cell]
2 Np 0.0000 0.2501 0.2500 [4 per cell]
3 S 0.0000 0.0975 0.7500 [4 per cell]
4 S 0.0000 0.3550 0.5703 [8 per cell]

Values from the calculation:
Volume, Å³/cell: 456.99
Uncorrected energy, eV per atom: -7.673

---

8.
CuHgBiPd | GGA-PBE | relaxed

Lattice parameters (Å, degrees): 6.8008 6.8008 6.8008 90.00 90.00 90.00
Space group F-43m (No. 216)
Unique sites:
1 Cu 0.0000 0.0000 0.0000 [4 per cell]
2 Hg 0.2500 0.2500 0.2500 [4 per cell]
3 Bi 0.2500 0.2500 0.7500 [4 per cell]
4 Pd 0.0000 0.0000 0.5000 [4 per cell]

Values from the calculation:
Volume, Å³/cell: 314.54
Uncorrected energy, eV per atom: -3.240